Computed, not measured: a relaxed Pm2Y2Tm5 crystal at the GGA-PBE level of DFT.

a = 10.0423 Å, b = 10.0423 Å, c = 10.0423 Å
α = 84.49°, β = 108.47°, γ = 141.19°
Last column: nearest neighbours and their distance in Å.
Fractional coordinates of all 18 atoms:
Pm  0.0000  0.0000  0.0000  4 Tm 3.22-3.56, 2 Y 3.54
Pm  0.0000  0.5000  0.5000  4 Tm 3.22-3.56, 2 Y 3.54
Pm  0.8897  0.6516  0.7382  4 Tm 3.34-3.67, 2 Y 3.54
Pm  0.9134  0.1516  0.2618  4 Tm 3.34-3.67, 2 Y 3.54
Y  0.4434  0.5766  0.1194  4 Tm 3.32-3.66, 2 Pm 3.54, 1 Y 3.68
Y  0.4434  0.8240  0.3668  4 Tm 3.32-3.66, 2 Pm 3.54, 1 Y 3.68
Y  0.4572  0.0766  0.6332  4 Tm 3.32-3.66, 2 Pm 3.54, 1 Y 3.68
Y  0.4572  0.3240  0.8806  4 Tm 3.32-3.66, 2 Pm 3.54, 1 Y 3.68
Tm  0.0396  0.3523  0.7936  4 Tm 3.18-3.34, 1 Pm 3.22, 1 Y 3.32
Tm  0.0396  0.7460  0.1874  4 Tm 3.18-3.34, 1 Pm 3.22, 1 Y 3.32
Tm  0.3457  0.2512  0.3782  4 Tm 3.18-3.35, 1 Y 3.36, 1 Pm 3.38
Tm  0.3457  0.4674  0.5945  4 Tm 3.18-3.35, 1 Y 3.36, 1 Pm 3.38
Tm  0.3556  0.8580  0.9975  4 Tm 3.20-3.34, 1 Pm 3.34, 2 Y 3.58
Tm  0.5586  0.2460  0.2064  4 Tm 3.18-3.34, 1 Pm 3.22, 1 Y 3.32
Tm  0.5586  0.8523  0.8126  4 Tm 3.18-3.34, 1 Pm 3.22, 1 Y 3.32
Tm  0.8605  0.3580  0.0025  4 Tm 3.20-3.34, 1 Pm 3.34, 2 Y 3.58
Tm  0.8729  0.7512  0.4055  4 Tm 3.18-3.35, 1 Y 3.36, 1 Pm 3.38
Tm  0.8729  0.9674  0.6218  4 Tm 3.18-3.35, 1 Y 3.36, 1 Pm 3.38

Properties
Space group = Ima2, No. 46
E_form = 0.211 eV per atom
Energy above the most stable polymorph in this dataset = 0.1277 eV/atom